Sr5Al2I2: optimized geometry, GGA-PBE.

a = 8.857 Å, b = 8.874 Å, c = 9.823 Å
α = 90.00°, β = 63.20°, γ = 90.00°
Positions (direct):
1 I 0.288 0.500 0.424
2 I 0.788 0.000 0.424
3 I 0.212 0.000 0.576
4 I 0.712 0.500 0.576
5 Sr 0.212 0.166 0.239
6 Sr 0.788 0.834 0.761
7 Sr 0.951 0.334 0.761
8 Sr 0.712 0.334 0.239
9 Sr 0.451 0.166 0.761
10 Sr 0.288 0.666 0.761
11 Sr 0.000 0.000 0.000
12 Sr 0.500 0.500 0.000
13 Sr 0.049 0.666 0.239
14 Sr 0.549 0.834 0.239
15 Al 0.380 0.881 0.000
16 Al 0.880 0.619 0.000
17 Al 0.620 0.119 0.000
18 Al 0.120 0.381 0.000

Formation energy from raw total energies   -0.6498 eV/atom
Magnetic moment   0.0 μB per cell
Calculated total energy   -2.760 eV/atom